1.
First-principles (PBE) data for a relaxed SmLuTlHg crystal, as listed in Alexandria.

It has space group F-43m (No. 216), with a = 7.537 Å, b = 7.537 Å, c = 7.537 Å, α = 90.00°, β = 90.00° and γ = 90.00°. The inequivalent atoms are Sm at (0.000, 0.000, 0.000), Lu at (0.000, 0.000, 0.500), Tl at (0.250, 0.250, 0.250) and Hg at (0.250, 0.250, 0.750).

The energy is -3.3644 eV per atom. The energy of formation comes out at -0.387 eV per atom. The value obtained for the mass density is 11.328 g/cm³. As for the total magnetization: 1.6 μB/cell.

2.
First-principles (PBE) data for a relaxed RbTl5Pt2 crystal, as listed in Alexandria.

It has space group Immm (No. 71), with a = 4.602 Å, b = 8.183 Å, c = 12.267 Å, α = 90.00°, β = 90.00° and γ = 90.00°. The inequivalent atoms are Rb at (0.000, 0.000, 0.000), Tl at (0.000, 0.210, 0.347), Tl at (0.000, 0.500, 0.000) and Pt at (0.000, 0.500, 0.224).

The energy is -3.2117 eV per atom. The energy of formation comes out at -0.102 eV per atom. The value obtained for the mass density is 10.766 g/cm³. As for the total magnetization: 0.0 μB/cell.

3.
First-principles (PBE) data for a relaxed CaAcBi4Pb2 crystal, as listed in Alexandria.

It has space group I4/mmm (No. 139), with a = 7.431 Å, b = 7.431 Å, c = 9.367 Å, α = 90.00°, β = 90.00° and γ = 90.00°. The inequivalent atoms are Ca at (0.000, 0.000, 0.000), Ac at (0.000, 0.000, 0.500), Bi at (0.250, 0.250, 0.250) and Pb at (0.000, 0.500, 0.000).

The energy is -4.0652 eV per atom. The energy of formation comes out at -0.434 eV per atom. The value obtained for the mass density is 9.743 g/cm³. As for the total magnetization: 0.0 μB/cell.